No. 1
A relaxed structure of Ac12La5Ho, computed with PBE.

Cell lengths 6.8015, 6.8015, 19.0688 Å; angles 93.39, 93.39, 119.98 degrees
Positions (direct):
Ac: 0.2225 0.2225 0.6643
Ac: 0.7775 0.7775 0.3357
Ac: 0.3845 0.3845 0.1627
Ac: 0.6155 0.6155 0.8373
Ac: 0.7231 0.0541 0.1628
Ac: 0.9459 0.2769 0.8372
Ac: 0.0541 0.7231 0.1628
Ac: 0.2769 0.9459 0.8372
Ac: 0.4451 0.1112 0.3357
Ac: 0.1112 0.4451 0.3357
Ac: 0.8888 0.5549 0.6643
Ac: 0.5549 0.8888 0.6643
La: 0.5000 0.5000 0.5000
La: 0.8330 0.1670 0.5000
La: 0.1670 0.8330 0.5000
La: 0.3334 0.6666 0.0000
La: 0.6666 0.3334 0.0000
Ho: 0.0000 0.0000 0.0000

Output
- calculated density (kg/m³) = 7842
- symmetry = C2/m, No. 12
- energy (eV/atom) = -4.34
- E_form (eV per atom) = 0.0231


No. 2
A relaxed structure of AcLa5Ho, computed with PBE.

Cell lengths 6.8420, 6.8420, 12.4526 Å; angles 105.82, 105.82, 97.48 degrees
Positions (direct):
Ac: 0.0000 0.0000 0.0000
Ac: 0.0000 0.0000 0.5000
La: 0.3856 0.0257 0.8296
La: 0.4687 0.7559 0.5349
La: 0.0257 0.3856 0.3296
La: 0.8353 0.1647 0.7500
La: 0.2441 0.5313 0.9651
La: 0.7559 0.4687 0.0349
La: 0.1647 0.8353 0.2500
La: 0.9743 0.6144 0.6704
La: 0.5313 0.2441 0.4651
La: 0.6144 0.9743 0.1704
Ho: 0.4956 0.5044 0.7500
Ho: 0.5044 0.4956 0.2500

Output
- calculated density (kg/m³) = 6856
- symmetry = C2/c, No. 15
- energy (eV/atom) = -4.68
- E_form (eV per atom) = 0.0789


No. 3
A relaxed structure of Ac2La5Ho2, computed with PBE.

Cell lengths 6.4763, 8.3767, 9.1892 Å; angles 136.85, 89.73, 97.73 degrees
Positions (direct):
Ac: 0.6675 0.9907 0.6652
Ac: 0.3325 0.0093 0.3348
La: 0.7727 0.6587 0.1053
La: 0.2273 0.3413 0.8947
La: 0.8895 0.3468 0.5620
La: 0.1105 0.6532 0.4380
La: 0.0000 0.0000 0.0000
Ho: 0.5549 0.3295 0.2205
Ho: 0.4451 0.6705 0.7795

Output
- calculated density (kg/m³) = 7336
- symmetry = P-1, No. 2
- energy (eV/atom) = -4.63
- E_form (eV per atom) = 0.0337


No. 4
A relaxed structure of Ac3La4Ho, computed with PBE.

Cell lengths 5.4011, 6.5827, 10.0706 Å; angles 89.77, 74.44, 65.78 degrees
Positions (direct):
Ac: 0.7404 0.7627 0.7564
Ac: 0.2596 0.2373 0.2436
Ac: 0.5000 0.5000 0.5000
Ho: 0.0000 0.0000 0.0000
La: 0.8798 0.8706 0.3698
La: 0.1202 0.1294 0.6302
La: 0.3695 0.3817 0.8793
La: 0.6305 0.6183 0.1207

Output
- calculated density (kg/m³) = 7453
- symmetry = C2/m, No. 12
- energy (eV/atom) = -4.54
- E_form (eV per atom) = 0.0324


> Which of these has the highest calculated density?

Ac12La5Ho